[1]
The following is a PBE calculation of BaSiH2O4 after structural relaxation, from the Alexandria database.

Structure (CIF):
```
data_BaSiH2O4
_chemical_formula_sum 'Ba1 Si1 H2 O4'
_cell_length_a 4.1842
_cell_length_b 5.1940
_cell_length_c 5.1940
_cell_angle_alpha 75.83
_cell_angle_beta 66.25
_cell_angle_gamma 66.25
_space_group_name_H-M_alt 'P 1'
_space_group_IT_number 1
_space_group_name_Hall 'P 1'
loop_
_atom_site_label
_atom_site_type_symbol
_atom_site_fract_x
_atom_site_fract_y
_atom_site_fract_z
_atom_site_occupancy
Ba1 Ba 0.0000 0.0000 0.0000 1
O1 O 0.6131 0.5265 0.7630 1
H1 H 0.1434 0.3566 0.3566 1
Si1 Si 0.5000 0.5000 0.5000 1
O2 O 0.3869 0.2370 0.4735 1
H2 H 0.8566 0.6434 0.6434 1
O3 O 0.0974 0.7630 0.5265 1
O4 O 0.9026 0.4735 0.2370 1
```

Values from the calculation:
VASP energy in Ry per atom: -0.465
Spin magnetization in μB/f.u.: 0.0
Space-group type: I222

---

[2]
The following is a PBE calculation of Ba6Sn2HO after structural relaxation, from the Alexandria database.

Structure (CIF):
```
data_Ba6Sn2HO
_chemical_formula_sum 'Ba12 Sn4 H2 O2'
_cell_length_a 7.8418
_cell_length_b 7.8422
_cell_length_c 11.0891
_cell_angle_alpha 90.00
_cell_angle_beta 90.00
_cell_angle_gamma 90.00
_space_group_name_H-M_alt 'P 1'
_space_group_IT_number 1
_space_group_name_Hall 'P 1'
loop_
_atom_site_label
_atom_site_type_symbol
_atom_site_fract_x
_atom_site_fract_y
_atom_site_fract_z
_atom_site_occupancy
Ba1 Ba 0.0000 0.7499 0.2563 1
O1 O 0.5000 0.2505 0.0000 1
H1 H 0.5000 0.2495 0.5000 1
Ba2 Ba 0.7555 0.9937 0.5000 1
Sn1 Sn 0.5000 0.7501 0.7501 1
Ba3 Ba 0.7558 0.5050 0.5000 1
Ba4 Ba 0.2445 0.9937 0.5000 1
Sn2 Sn 0.5000 0.7501 0.2499 1
Ba5 Ba 0.7445 0.0063 0.0000 1
Ba6 Ba 0.7442 0.4950 0.0000 1
Sn3 Sn 0.0000 0.2499 0.7499 1
Ba7 Ba 0.5000 0.2501 0.2437 1
H2 H 0.0000 0.7505 0.0000 1
Ba8 Ba 0.2442 0.5050 0.5000 1
Ba9 Ba 0.2555 0.0063 0.0000 1
Ba10 Ba 0.2558 0.4950 0.0000 1
Sn4 Sn 0.0000 0.2499 0.2501 1
Ba11 Ba 0.0000 0.7499 0.7437 1
O2 O 0.0000 0.7495 0.5000 1
Ba12 Ba 0.5000 0.2501 0.7563 1
```

Values from the calculation:
VASP energy in Ry per atom: -0.271
Spin magnetization in μB/f.u.: 0.0
Space-group type: Pmmn

---

[3]
The following is a PBE calculation of BaSnH6O6 after structural relaxation, from the Alexandria database.

Structure (CIF):
```
data_BaSnH6O6
_chemical_formula_sum 'Ba4 Sn4 H24 O24'
_cell_length_a 6.4894
_cell_length_b 9.4997
_cell_length_c 10.6163
_cell_angle_alpha 112.88
_cell_angle_beta 90.00
_cell_angle_gamma 90.00
_space_group_name_H-M_alt 'P 1'
_space_group_IT_number 1
_space_group_name_Hall 'P 1'
loop_
_atom_site_label
_atom_site_type_symbol
_atom_site_fract_x
_atom_site_fract_y
_atom_site_fract_z
_atom_site_occupancy
O1 O 0.1536 0.3615 0.5818 1
Ba1 Ba 0.5034 0.4588 0.2825 1
O2 O 0.3464 0.8615 0.0818 1
O3 O 0.9081 0.6490 0.6953 1
Ba2 Ba 0.0034 0.0412 0.2175 1
Sn1 Sn 0.5000 0.0000 0.0000 1
H1 H 0.8346 0.2885 0.7911 1
Sn2 Sn 0.0000 0.5000 0.5000 1
H2 H 0.5764 0.1518 0.8427 1
O4 O 0.8464 0.6385 0.4182 1
O5 O 0.4819 0.1912 0.6917 1
H3 H 0.6269 0.6073 0.0310 1
Ba3 Ba 0.4966 0.5412 0.7175 1
O6 O 0.5181 0.8088 0.3083 1
O7 O 0.0181 0.6912 0.1917 1
H4 H 0.5065 0.1302 0.2652 1
O8 O 0.7139 0.3910 0.4836 1
O9 O 0.1644 0.6079 0.8968 1
H5 H 0.9935 0.6302 0.7652 1
O10 O 0.9819 0.3088 0.8083 1
H6 H 0.9236 0.6518 0.3427 1
O11 O 0.4081 0.8510 0.8047 1
H7 H 0.1269 0.8927 0.4690 1
H8 H 0.2764 0.2037 0.4671 1
H9 H 0.4236 0.8482 0.1573 1
H10 H 0.7681 0.7819 0.9698 1
H11 H 0.0065 0.3698 0.2348 1
H12 H 0.3346 0.2115 0.7089 1
O12 O 0.5919 0.1490 0.1953 1
O13 O 0.2861 0.6090 0.5164 1
H13 H 0.7319 0.2819 0.4698 1
H14 H 0.1654 0.7115 0.2089 1
O14 O 0.6536 0.1385 0.9182 1
H15 H 0.2319 0.2181 0.0302 1
O15 O 0.2139 0.1090 0.0164 1
O16 O 0.8356 0.3921 0.1032 1
O17 O 0.0919 0.3510 0.3047 1
H16 H 0.7764 0.2963 0.0329 1
Sn3 Sn 0.5000 0.0000 0.5000 1
O18 O 0.7792 0.0875 0.4542 1
H17 H 0.3731 0.3927 0.9690 1
H18 H 0.8731 0.1073 0.5310 1
O19 O 0.6644 0.8921 0.6032 1
Ba4 Ba 0.9966 0.9588 0.7825 1
H19 H 0.2681 0.7181 0.5302 1
Sn4 Sn 0.0000 0.5000 0.0000 1
O20 O 0.3356 0.1079 0.3968 1
H20 H 0.6654 0.7885 0.2911 1
H21 H 0.7236 0.7963 0.5329 1
H22 H 0.0764 0.3482 0.6573 1
H23 H 0.2236 0.7037 0.9671 1
H24 H 0.4935 0.8698 0.7348 1
O21 O 0.7861 0.8910 0.9836 1
O22 O 0.2208 0.9125 0.5458 1
O23 O 0.2792 0.4125 0.0458 1
O24 O 0.7208 0.5875 0.9542 1
```

Values from the calculation:
VASP energy in Ry per atom: -0.402
Spin magnetization in μB/f.u.: 0.0
Space-group type: P2_1/c

---

[4]
The following is a PBE calculation of BaTaH2O after structural relaxation, from the Alexandria database.

Structure (CIF):
```
data_BaTaH2O
_chemical_formula_sum 'Ba1 Ta1 H2 O1'
_cell_length_a 5.1169
_cell_length_b 3.8009
_cell_length_c 5.1169
_cell_angle_alpha 90.00
_cell_angle_beta 90.00
_cell_angle_gamma 90.00
_space_group_name_H-M_alt 'P 1'
_space_group_IT_number 1
_space_group_name_Hall 'P 1'
loop_
_atom_site_label
_atom_site_type_symbol
_atom_site_fract_x
_atom_site_fract_y
_atom_site_fract_z
_atom_site_occupancy
Ba1 Ba 0.5000 0.5000 0.5000 1
H1 H 0.5000 0.0000 0.0000 1
O1 O 0.0000 0.0000 0.0000 1
H2 H 0.0000 0.0000 0.5000 1
Ta1 Ta 0.0000 0.5000 0.0000 1
```

Values from the calculation:
VASP energy in Ry per atom: -0.370
Spin magnetization in μB/f.u.: 1.6
Space-group type: P4/mmm

---

[5]
The following is a PBE calculation of BaTaHO2 after structural relaxation, from the Alexandria database.

Structure (CIF):
```
data_BaTaHO2
_chemical_formula_sum 'Ba1 Ta1 H1 O2'
_cell_length_a 4.1199
_cell_length_b 4.1199
_cell_length_c 4.1566
_cell_angle_alpha 90.00
_cell_angle_beta 90.00
_cell_angle_gamma 90.00
_space_group_name_H-M_alt 'P 1'
_space_group_IT_number 1
_space_group_name_Hall 'P 1'
loop_
_atom_site_label
_atom_site_type_symbol
_atom_site_fract_x
_atom_site_fract_y
_atom_site_fract_z
_atom_site_occupancy
O1 O 0.5000 0.0000 0.0000 1
O2 O 0.0000 0.5000 0.0000 1
H1 H 0.0000 0.0000 0.5000 1
Ba1 Ba 0.5000 0.5000 0.5000 1
Ta1 Ta 0.0000 0.0000 0.0000 1
```

Values from the calculation:
VASP energy in Ry per atom: -0.532
Spin magnetization in μB/f.u.: 0.0
Space-group type: P4/mmm

---

[6]
The following is a PBE calculation of BaTc2HO8 after structural relaxation, from the Alexandria database.

Structure (CIF):
```
data_BaTc2HO8
_chemical_formula_sum 'Ba1 Tc2 H1 O8'
_cell_length_a 5.1398
_cell_length_b 6.3006
_cell_length_c 7.2465
_cell_angle_alpha 63.01
_cell_angle_beta 69.23
_cell_angle_gamma 65.93
_space_group_name_H-M_alt 'P 1'
_space_group_IT_number 1
_space_group_name_Hall 'P 1'
loop_
_atom_site_label
_atom_site_type_symbol
_atom_site_fract_x
_atom_site_fract_y
_atom_site_fract_z
_atom_site_occupancy
O1 O 0.6648 0.0143 0.1913 1
O2 O 0.1461 0.3506 0.3571 1
O3 O 0.1296 0.0143 0.1913 1
O4 O 0.8704 0.9857 0.8087 1
O5 O 0.8539 0.6494 0.6429 1
O6 O 0.3244 0.4461 0.9051 1
Ba1 Ba 0.5000 0.5000 0.5000 1
O7 O 0.6756 0.5539 0.0949 1
Tc1 Tc 0.3121 0.2139 0.1619 1
H1 H 0.0000 0.0000 0.0000 1
Tc2 Tc 0.6879 0.7861 0.8381 1
O8 O 0.3352 0.9857 0.8087 1
```

Values from the calculation:
VASP energy in Ry per atom: -0.505
Spin magnetization in μB/f.u.: 0.0
Space-group type: C2/m

---

[7]
The following is a PBE calculation of Ba2TcHO6 after structural relaxation, from the Alexandria database.

Structure (CIF):
```
data_Ba2TcHO6
_chemical_formula_sum 'Ba4 Tc2 H2 O12'
_cell_length_a 5.5026
_cell_length_b 5.5026
_cell_length_c 10.7789
_cell_angle_alpha 75.21
_cell_angle_beta 75.21
_cell_angle_gamma 60.00
_space_group_name_H-M_alt 'P 1'
_space_group_IT_number 1
_space_group_name_Hall 'P 1'
loop_
_atom_site_label
_atom_site_type_symbol
_atom_site_fract_x
_atom_site_fract_y
_atom_site_fract_z
_atom_site_occupancy
Tc1 Tc 0.0000 0.0000 0.0000 1
Ba1 Ba 0.2737 0.2737 0.1789 1
Tc2 Tc 0.5000 0.5000 0.5000 1
O1 O 0.6266 0.1401 0.6066 1
Ba2 Ba 0.1280 0.1280 0.6160 1
Ba3 Ba 0.8720 0.8720 0.3840 1
O2 O 0.7963 0.3019 0.1055 1
O3 O 0.3734 0.8599 0.3934 1
O4 O 0.6266 0.6266 0.6066 1
Ba4 Ba 0.7263 0.7263 0.8211 1
O5 O 0.2037 0.2037 0.8945 1
O6 O 0.2037 0.6981 0.8945 1
H1 H 0.6315 0.6315 0.1054 1
H2 H 0.3685 0.3685 0.8946 1
O7 O 0.6981 0.2037 0.8945 1
O8 O 0.3019 0.7963 0.1055 1
O9 O 0.8599 0.3734 0.3934 1
O10 O 0.7963 0.7963 0.1055 1
O11 O 0.1401 0.6266 0.6066 1
O12 O 0.3734 0.3734 0.3934 1
```

Values from the calculation:
VASP energy in Ry per atom: -0.475
Spin magnetization in μB/f.u.: 0.0
Space-group type: R-3m

---

[8]
The following is a PBE calculation of Ba2TeH2O6 after structural relaxation, from the Alexandria database.

Structure (CIF):
```
data_Ba2TeH2O6
_chemical_formula_sum 'Ba2 Te1 H2 O6'
_cell_length_a 5.3769
_cell_length_b 5.3769
_cell_length_c 6.3882
_cell_angle_alpha 65.11
_cell_angle_beta 65.11
_cell_angle_gamma 60.00
_space_group_name_H-M_alt 'P 1'
_space_group_IT_number 1
_space_group_name_Hall 'P 1'
loop_
_atom_site_label
_atom_site_type_symbol
_atom_site_fract_x
_atom_site_fract_y
_atom_site_fract_z
_atom_site_occupancy
O1 O 0.7590 0.7590 0.2109 1
Te1 Te 0.0000 0.0000 0.0000 1
Ba1 Ba 0.7729 0.7729 0.6814 1
O2 O 0.7590 0.2711 0.2109 1
H1 H 0.3970 0.3970 0.8090 1
O3 O 0.7289 0.2410 0.7891 1
O4 O 0.2410 0.7289 0.7891 1
O5 O 0.2711 0.7590 0.2109 1
Ba2 Ba 0.2271 0.2271 0.3186 1
H2 H 0.6030 0.6030 0.1910 1
O6 O 0.2410 0.2410 0.7891 1
```

Values from the calculation:
VASP energy in Ry per atom: -0.402
Spin magnetization in μB/f.u.: 0.0
Space-group type: R-3m